(1)
VASP calculation (PBE) on a relaxed Si2Hg2Pb crystal.

ΔE to the lowest computed polymorph = 0.092 eV per atom
DOS at the Fermi energy = 1.799 states/eV/cell
Calculated volume = 117.3 Å³/cell
Final energy = -2.576 eV per atom
Raw formation energy = 0.4559 eV/atom
Crystal system = tetragonal

a b c (Å): 4.2595 4.2595 7.1332
angles (deg): 72.63 72.63 90.00
Closest atoms and distances in Å follow each position.
Element x y z (fractional)
Pb 0.0000 0.0000 0.0000  8 Hg 3.34
Si 0.7500 0.2500 0.5000  4 Hg 2.78, 4 Si 3.01
Si 0.2500 0.7500 0.5000  4 Hg 2.78, 4 Si 3.01
Hg 0.3885 0.3885 0.2230  4 Si 2.78, 1 Hg 2.88
Hg 0.6115 0.6115 0.7770  4 Si 2.78, 1 Hg 2.88


(2)
VASP calculation (PBE) on a relaxed YCd2Sb crystal.

DOS at the Fermi energy = 2.633 states/eV/cell
Calculated volume = 106.0 Å³/cell
Final energy = -3.453 eV per atom
Raw formation energy = -0.3487 eV/atom
Crystal system = tetragonal

a b c (Å): 4.0670 4.0670 6.4069
angles (deg): 90.00 90.00 90.00
Closest atoms and distances in Å follow each position.
Element x y z (fractional)
Cd 0.0000 0.0000 0.0326  4 Cd 3.11, 2 Sb 3.20
Cd 0.5000 0.5000 0.2155  4 Cd 3.11, 2 Y 3.18-3.23
Sb 0.0000 0.0000 0.5326  4 Y 3.11, 2 Cd 3.20
Y 0.5000 0.5000 0.7193  4 Sb 3.11, 2 Cd 3.18-3.23


(3)
VASP calculation (PBE) on a relaxed PmTiGaAg crystal.

DOS at the Fermi energy = 2.801 states/eV/cell
Calculated formation energy = -4.1 kcal/mol of atoms
Calculated volume = 85.3 Å³/cell
Final energy = -4.807 eV per atom
Crystal system = cubic

a b c (Å): 4.9419 4.9419 4.9419
angles (deg): 60.00 60.00 60.00
Closest atoms and distances in Å follow each position.
Element x y z (fractional)
Ti 0.2500 0.2500 0.2500  4 Ag 3.03, 4 Ga 3.03
Ga 0.0000 0.0000 0.0000  4 Ti 3.03, 4 Pm 3.03
Ag 0.5000 0.5000 0.5000  4 Pm 3.03, 4 Ti 3.03
Pm 0.7500 0.7500 0.7500  4 Ga 3.03, 4 Ag 3.03